A plane-wave DFT calculation with PBE-GGA was carried out for Y2AgPt after structural relaxation.

Unit cell a=4.894 b=4.894 c=4.894 alpha=60.00 beta=60.00 gamma=60.00
Atoms (fractional coordinates):
1 Ag 0.750 0.750 0.750
2 Pt 0.000 0.000 0.000
3 Y 0.250 0.250 0.250
4 Y 0.500 0.500 0.500

Summary:
total magnetic moment	0.0	μB/f.u.
formation enthalpy at 0 K	-0.479	eV per atom